(1)
This record from the Alexandria database describes a geometry-optimized HfW2O8 structure. The functional is PBEsol.

Magnetization, μB/atom: 0.00
Symmetry: P2_13
Raw formation energy, eV/atom: -2.460
Total energy, eV/atom: -9.743
Crystal system: cubic

Geometry as POSCAR:
```
HfW2O8
1.0
9.164 0.000 0.000
0.000 9.164 0.000
0.000 0.000 9.164
Hf W O
4 8 32
direct
0.248 0.252 0.748
0.252 0.748 0.248
0.748 0.248 0.252
0.752 0.752 0.752
0.093 0.093 0.093
0.151 0.651 0.849
0.349 0.349 0.349
0.407 0.907 0.593
0.593 0.407 0.907
0.651 0.849 0.151
0.849 0.151 0.651
0.907 0.593 0.407
0.016 0.484 0.516
0.038 0.195 0.683
0.046 0.697 0.310
0.183 0.462 0.805
0.190 0.954 0.197
0.195 0.683 0.038
0.197 0.190 0.954
0.239 0.239 0.239
0.261 0.761 0.739
0.303 0.810 0.454
0.305 0.317 0.538
0.310 0.046 0.697
0.317 0.538 0.305
0.454 0.303 0.810
0.462 0.805 0.183
0.484 0.516 0.016
0.516 0.016 0.484
0.538 0.305 0.317
0.546 0.803 0.690
0.683 0.038 0.195
0.690 0.546 0.803
0.695 0.817 0.962
0.697 0.310 0.046
0.739 0.261 0.761
0.761 0.739 0.261
0.803 0.690 0.546
0.805 0.183 0.462
0.810 0.454 0.303
0.817 0.962 0.695
0.954 0.197 0.190
0.962 0.695 0.817
0.984 0.984 0.984
```


(2)
This record from the Alexandria database describes a geometry-optimized MnOsPb2 structure. The functional is PBEsol.

Magnetization, μB/atom: 0.86
Symmetry: P4/mmm
Total energy, eV/atom: -6.652
ΔH_f (0 K), eV/atom: 0.84
Relative energy among the computed polymorphs, meV/atom: 0
Crystal system: tetragonal

Geometry as POSCAR:
```
MnOsPb2
1.0
3.298 0.000 0.000
0.000 3.298 0.000
0.000 0.000 6.948
Mn Os Pb
1 1 2
direct
0.000 0.000 0.000
0.000 0.000 0.500
0.500 0.500 0.258
0.500 0.500 0.742
```


Look up the total energy of the first one. -9.743 eV/atom


Which formula does entry 1 have? HfW2O8